Computed, not measured: a relaxed NiO2F2 crystal at the PBE+U level of DFT. Values from VASP.

Geometry as Quantum ESPRESSO input:
```
&SYSTEM
  ibrav = 0, nat = 5, ntyp = 3
/
ATOMIC_SPECIES
Ni 58.69 Ni.upf
O 16.00 O.upf
F 19.00 F.upf
ATOMIC_POSITIONS angstrom
Ni 0.000 0.000 0.000
O 0.000 1.933 0.000
O 1.933 0.000 0.000
F 0.000 0.000 1.864
F 1.933 1.933 1.864
CELL_PARAMETERS angstrom
3.866 0.000 0.000
0.000 3.866 0.000
0.000 0.000 3.728
```

Results
Space group = P4/mmm
Spin magnetization = 3.49 μB/f.u.
Calculated total energy = -3.231 eV/atom
Density of states at the Fermi level = 1.79 states/eV/cell